# 1
Lu5Tc | GGA-PBE | optimized geometry

Cell: 4.9914 4.8647 6.7572 Å, 111.10 90.00 90.00°
Closest atoms and distances in Å follow each position.
Atoms (fractional coordinates):
Lu1 0.5000 0.8489 0.6978  2 Lu 3.09, 2 Tc 3.14
Lu2 0.0000 0.6446 0.2892  2 Tc 3.04, 2 Lu 3.09
Lu3 0.5000 0.5000 0.0000  8 Lu 3.09
Lu4 0.0000 0.3554 0.7108  2 Tc 3.04, 2 Lu 3.09
Lu5 0.5000 0.1511 0.3022  2 Lu 3.09, 2 Tc 3.14
Tc1 0.0000 0.0000 0.0000  8 Lu 3.04-3.14

* uncorrected energy: -5.40 eV per atom
* M_tot: 0.00 μB/f.u.
* DFT formation energy: 93.5 meV/atom



# 2
LuThTc2 | GGA-PBE | optimized geometry

Cell: 3.4682 3.4682 6.8508 Å, 90.00 90.00 90.00°
Closest atoms and distances in Å follow each position.
Atoms (fractional coordinates):
Lu1 0.5000 0.5000 0.0000  8 Tc 3.04
Tc1 0.0000 0.0000 0.7377  4 Th 2.94, 4 Lu 3.04, 1 Tc 3.26
Tc2 0.0000 0.0000 0.2623  4 Th 2.94, 4 Lu 3.04, 1 Tc 3.26
Th1 0.5000 0.5000 0.5000  8 Tc 2.94

* uncorrected energy: -8.22 eV per atom
* M_tot: 0.00 μB/f.u.
* DFT formation energy: -52.9 meV/atom



# 3
LuThTc2 | GGA-PBE | optimized geometry

Cell: 4.8666 4.8666 4.8666 Å, 60.00 60.00 60.00°
Closest atoms and distances in Å follow each position.
Atoms (fractional coordinates):
Lu1 0.5000 0.5000 0.5000  8 Tc 2.98
Tc1 0.2500 0.2500 0.2500  4 Lu 2.98, 4 Th 2.98
Tc2 0.7500 0.7500 0.7500  4 Th 2.98, 4 Lu 2.98
Th1 0.0000 0.0000 0.0000  8 Tc 2.98

* uncorrected energy: -8.27 eV per atom
* M_tot: 0.00 μB/f.u.
* DFT formation energy: -106.4 meV/atom



# 4
LuTh2Tc | GGA-PBE | optimized geometry

Cell: 3.5382 3.5382 8.5567 Å, 90.00 90.00 90.00°
Closest atoms and distances in Å follow each position.
Atoms (fractional coordinates):
Lu1 0.5000 0.5000 0.5000  8 Th 3.53, 4 Lu 3.54
Tc1 0.5000 0.5000 0.0000  8 Th 3.07
Th1 0.0000 0.0000 0.7913  4 Tc 3.07
Th2 0.0000 0.0000 0.2087  4 Tc 3.07

* uncorrected energy: -7.42 eV per atom
* M_tot: 0.00 μB/f.u.
* DFT formation energy: 15.9 meV/atom